[1]
DFT (PBE) results for a relaxed structure of ScV4Ru5.

Calculated values
DOS(E_F)   11.563 states/eV per cell
Crystal system   tetragonal
Total magnetization   0.30 μB per formula unit

Cell: 3.0326 3.0326 15.4446 Å, 90.00 90.00 90.00°
Closest atoms and distances in Å follow each position.
Space group P4/mmm (No. 123)
Unique sites:
Sc1 0.0000 0.0000 0.0000  8 Ru 2.78, 4 Sc 3.03
V1 0.0000 0.0000 0.2055  8 Ru 2.56-2.68
V2 0.0000 0.0000 0.4019  8 Ru 2.58-2.63
Ru1 0.5000 0.5000 0.1146  4 V 2.56, 4 Sc 2.78
Ru2 0.5000 0.5000 0.3092  8 V 2.58-2.68
Ru3 0.5000 0.5000 0.5000  8 V 2.63

***

[2]
DFT (PBE) results for a relaxed structure of ScV5Ru6.

Calculated values
DOS(E_F)   25.548 states/eV per cell
Crystal system   orthorhombic
Total magnetization   2.66 μB per formula unit

Cell: 4.2888 12.9000 6.1196 Å, 90.00 90.00 90.00°
Closest atoms and distances in Å follow each position.
Space group Cmmm (No. 65)
Unique sites:
Sc1 0.0000 0.0000 0.0000  8 Ru 2.67-2.69
V1 0.0000 0.0000 0.5000  8 Ru 2.60-2.63
V2 0.0000 0.3281 0.0000  8 Ru 2.60-2.73
V3 0.0000 0.3323 0.5000  8 Ru 2.58-2.61
Ru1 0.0000 0.1687 0.2589  7 V 2.58-2.67, 1 Sc 2.69
Ru2 0.0000 0.5000 0.2599  6 V 2.60-2.73, 2 Sc 2.67

***

[3]
DFT (PBE) results for a relaxed structure of Sc2V2ZnRu5.

Calculated values
DOS(E_F)   13.276 states/eV per cell
Crystal system   tetragonal
Total magnetization   0.00 μB per formula unit

Cell: 9.9631 9.9631 3.1759 Å, 90.00 90.00 90.00°
Closest atoms and distances in Å follow each position.
Space group P4/mbm (No. 127)
Unique sites:
Sc1 0.1697 0.3303 0.0000  3 V 2.78-3.04, 6 Ru 2.87-3.07
V1 0.1326 0.6326 0.0000  6 Ru 2.39-2.45
Zn1 0.0000 0.0000 0.0000  8 Ru 2.64
Ru1 0.0000 0.5000 0.5000  4 V 2.45
Ru2 0.0678 0.7999 0.5000  2 V 2.39, 2 Zn 2.64

***

[4]
DFT (PBE) results for a relaxed structure of Sc2RuW.

Calculated values
DOS(E_F)   18.695 states/eV per cell
Crystal system   cubic
Total magnetization   0.00 μB per formula unit

Cell: 6.5119 6.5119 6.5119 Å, 90.00 90.00 90.00°
Closest atoms and distances in Å follow each position.
Space group F-43m (No. 216)
Unique sites:
Sc1 0.0000 0.0000 0.0000  4 Ru 2.82, 4 Sc 2.82
Sc2 0.2500 0.2500 0.2500  4 W 2.82, 4 Sc 2.82
Ru1 0.2500 0.2500 0.7500  4 W 2.82, 4 Sc 2.82
W1 0.0000 0.0000 0.5000  4 Ru 2.82, 4 Sc 2.82

***

| no. | final energy (eV per cell) |
| --- | --- |
| 1 | -92.5 |
| 2 | -222.3 |
| 3 | -161.3 |
| 4 | -138.9 |